No. 1
This record from the Alexandria database describes a relaxed KMnB3 crystal. The functional is GGA-PBE.

* polymorph energy (0 for the lowest one): 3086 meV/atom
* V: 91 Å³ per cell
* raw total energy: -2.20 eV per atom
* formation energy from the elements: 19.31 eV per formula unit

Structure (POSCAR):
```
KMnB3
1.0
4.492 0.000 0.000
0.000 4.492 0.000
0.000 0.000 4.492
Mn B K
1 3 1
Cartesian
2.246 2.246 2.246
2.246 0.000 0.000
0.000 2.246 0.000
0.000 0.000 2.246
0.000 0.000 0.000
```


No. 2
This record from the Alexandria database describes a relaxed Pm6CoSn12 crystal. The functional is GGA-PBE.

* V: 516 Å³ per cell
* raw total energy: -4.90 eV per atom
* formation energy from the elements: -9.47 eV per formula unit

Structure (POSCAR):
```
Pm6CoSn12
1.0
-3.993 3.554 -6.068
3.949 -5.442 -4.492
-5.996 -4.876 2.382
Pm Sn Co
6 12 1
Cartesian
-3.232 -6.773 -2.578
-6.325 -1.723 -4.470
0.286 -5.042 -3.709
-0.941 -3.264 -7.171
-2.807 0.009 -5.601
-5.098 -3.500 -1.008
-2.265 -5.606 -5.494
-5.348 -4.805 -3.881
-4.226 -7.516 -6.326
-0.691 -1.960 -4.298
-4.115 -2.727 -6.510
-1.813 0.752 -1.853
0.955 -1.548 -1.994
-3.774 -1.158 -2.685
-1.924 -4.038 -1.669
-1.695 -2.064 0.389
-6.994 -5.217 -6.185
-4.344 -4.700 -8.568
0.000 0.000 0.000
```


No. 3
This record from the Alexandria database describes a relaxed U2AuS crystal. The functional is GGA-PBE.

* formation energy from raw total energies: -8.5 kJ/mol of atoms
* V: 88 Å³ per cell
* raw total energy: -7.58 eV per atom

Structure (POSCAR):
```
U2AuS
1.0
3.181 0.000 0.000
1.591 2.755 0.000
1.591 0.918 10.016
S U Au
1 2 1
Cartesian
3.181 1.837 5.008
4.772 2.755 3.013
1.591 0.918 7.002
0.000 0.000 0.000
```